Computed, not measured: a relaxed structure of Li5Cd2Hg2Pt at the GGA-PBE level of DFT.

a b c (Å): 2.985 11.285 11.285
angles (deg): 90.00 90.00 90.00
Fractional coordinates of all 20 atoms:
Hg1 0.000 0.648 0.852
Hg2 0.000 0.852 0.352
Hg3 0.000 0.352 0.148
Hg4 0.000 0.148 0.648
Li1 0.500 0.684 0.486
Li2 0.500 0.316 0.514
Li3 0.500 0.486 0.316
Li4 0.500 0.500 0.000
Li5 0.500 0.184 0.014
Li6 0.500 0.816 0.986
Li7 0.500 0.514 0.684
Li8 0.500 0.986 0.184
Li9 0.500 0.000 0.500
Li10 0.500 0.014 0.816
Cd1 0.000 0.666 0.166
Cd2 0.000 0.334 0.834
Cd3 0.000 0.834 0.666
Cd4 0.000 0.166 0.334
Pt1 0.000 0.000 0.000
Pt2 0.000 0.500 0.500

## Properties
**Crystal system**: tetragonal
**Density**: 7.5 g/cm3
**Symmetry**: No. 127



Computed, not measured: a relaxed structure of LiCdHgPt at the GGA-PBE level of DFT.

a b c (Å): 4.653 4.653 4.653
angles (deg): 60.00 60.00 60.00
Fractional coordinates of all 4 atoms:
Cd1 0.500 0.500 0.500
Li1 0.250 0.250 0.250
Pt1 0.750 0.750 0.750
Hg1 0.000 0.000 0.000

## Properties
**Crystal system**: cubic
**Density**: 12.0 g/cm3
**Symmetry**: No. 216



Computed, not measured: a relaxed structure of LiPuCd2Hg4 at the GGA-PBE level of DFT.

a b c (Å): 5.054 5.054 8.865
angles (deg): 73.44 73.44 60.00
Last column: magnetic moment on the atom in μB.
Fractional coordinates of all 8 atoms:
Hg1 0.617 0.617 0.150  0.03
Hg2 0.383 0.383 0.850  0.03
Hg3 0.131 0.131 0.607  0.01
Hg4 0.869 0.869 0.393  0.01
Cd1 0.749 0.749 0.754  0.01
Cd2 0.251 0.251 0.246  0.01
Li1 0.500 0.500 0.500  -0.01
Pu1 0.000 0.000 0.000  5.49

## Properties
**Crystal system**: trigonal
**Density**: 11.5 g/cm3
**Symmetry**: No. 166



Computed, not measured: a relaxed structure of Li2PuCdHg4 at the GGA-PBE level of DFT.

a b c (Å): 4.796 4.796 9.627
angles (deg): 75.58 75.58 60.00
Last column: magnetic moment on the atom in μB.
Fractional coordinates of all 8 atoms:
Pu1 0.000 0.000 0.000  5.49
Hg1 0.881 0.881 0.357  0.01
Hg2 0.389 0.389 0.833  0.03
Hg3 0.119 0.119 0.643  0.01
Hg4 0.611 0.611 0.167  0.03
Li1 0.766 0.766 0.702  0.01
Li2 0.234 0.234 0.298  0.01
Cd1 0.500 0.500 0.500  -0.01

## Properties
**Crystal system**: trigonal
**Density**: 10.6 g/cm3
**Symmetry**: No. 166



Computed, not measured: a relaxed structure of Rb2LiCdHg6 at the GGA-PBE level of DFT.

a b c (Å): 7.872 7.872 7.865
angles (deg): 59.82 59.82 90.00
Fractional coordinates of all 10 atoms:
Hg1 0.263 0.263 0.000
Hg2 0.263 0.737 0.000
Hg3 0.263 0.263 0.474
Hg4 0.737 0.737 0.526
Hg5 0.737 0.737 0.000
Hg6 0.737 0.263 0.000
Rb1 0.250 0.750 0.500
Rb2 0.750 0.250 0.500
Cd1 0.000 0.000 0.000
Li1 0.500 0.500 0.000

## Properties
**Crystal system**: monoclinic
**Density**: 7.2 g/cm3
**Symmetry**: No. 12



Computed, not measured: a relaxed structure of RbLi2CdHg at the GGA-PBE level of DFT.

a b c (Å): 5.436 5.436 5.446
angles (deg): 90.00 90.00 90.00
Fractional coordinates of all 5 atoms:
Li1 0.000 0.500 0.000
Li2 0.500 0.000 0.000
Hg1 0.000 0.000 0.000
Cd1 0.000 0.000 0.500
Rb1 0.500 0.500 0.500

## Properties
**Crystal system**: tetragonal
**Density**: 4.3 g/cm3
**Symmetry**: No. 123



Computed, not measured: a relaxed structure of RbLiCd2Hg4 at the GGA-PBE level of DFT.

a b c (Å): 5.003 5.003 10.811
angles (deg): 76.62 76.62 60.00
Fractional coordinates of all 8 atoms:
Cd1 0.231 0.231 0.307
Cd2 0.769 0.769 0.693
Hg1 0.867 0.867 0.398
Hg2 0.404 0.404 0.787
Hg3 0.596 0.596 0.213
Hg4 0.133 0.133 0.602
Li1 0.500 0.500 0.500
Rb1 0.000 0.000 0.000

## Properties
**Crystal system**: trigonal
**Density**: 8.2 g/cm3
**Symmetry**: No. 166



Computed, not measured: a relaxed structure of RbLiCd2Hg at the GGA-PBE level of DFT.

a b c (Å): 5.564 5.564 5.412
angles (deg): 90.00 90.00 90.00
Fractional coordinates of all 5 atoms:
Hg1 0.000 0.000 0.000
Cd1 0.000 0.500 0.000
Cd2 0.500 0.000 0.000
Li1 0.000 0.000 0.500
Rb1 0.500 0.500 0.500

## Properties
**Crystal system**: tetragonal
**Energy relative to the lowest polymorph listed for this composition**: 0.058 eV per atom
**Density**: 5.1 g/cm3
**Symmetry**: No. 123



E_form / meV/atom: -269.0; -368.6; -161.4; -174.5; -163.2; -28.5; -166.6; 8.3